Record 1
# ZrSc2TlC

A geometry-optimized ZrSc2TlC structure (GGA-PBE, Alexandria via LeMat-Bulk).

Calculated values
Spin magnetization, μB per cell: 0.0
DFT formation energy, kJ/mol of formula units: -271
SG: P4/mmm
Crystal system: tetragonal

a = 4.5471 Å, b = 4.5471 Å, c = 4.6003 Å
α = 90.00°, β = 90.00°, γ = 90.00°
Closest atoms and distances in Å follow each position.
Fractional positions:
1 Sc 0.0000 0.5000 0.0000  2 C 2.27
2 Sc 0.5000 0.0000 0.0000  2 C 2.27
3 Tl 0.5000 0.5000 0.5000  4 Zr 3.22, 8 Sc 3.23
4 C 0.0000 0.0000 0.0000  4 Sc 2.27, 2 Zr 2.30
5 Zr 0.0000 0.0000 0.5000  2 C 2.30

---

Record 2
# CsMgHg2I

A geometry-optimized CsMgHg2I structure (GGA-PBE, Alexandria via LeMat-Bulk).

Calculated values
Electronic total energy, Ry per atom: -0.103
Spin magnetization, μB per cell: 0.0
SG: P4/mmm
Crystal system: tetragonal

a = 5.6208 Å, b = 5.6208 Å, c = 6.4339 Å
α = 90.00°, β = 90.00°, γ = 90.00°
Closest atoms and distances in Å follow each position.
Fractional positions:
1 Cs 0.5000 0.5000 0.5000  4 I 3.97, 8 Hg 4.27
2 I 0.0000 0.0000 0.5000  2 Mg 3.22
3 Mg 0.0000 0.0000 0.0000  4 Hg 2.81
4 Hg 0.0000 0.5000 0.0000  2 Mg 2.81
5 Hg 0.5000 0.0000 0.0000  2 Mg 2.81

---

Record 3
# KY3Au

A geometry-optimized KY3Au structure (GGA-PBE, Alexandria via LeMat-Bulk).

Calculated values
Spin magnetization, μB per cell: 0.0
DFT formation energy, kJ/mol of formula units: 605
SG: Pm-3m
Crystal system: cubic
Excess energy over the best structure of this formula in the dataset, eV per formula unit: 6.090

a = 5.2709 Å, b = 5.2709 Å, c = 5.2709 Å
α = 90.00°, β = 90.00°, γ = 90.00°
Closest atoms and distances in Å follow each position.
Fractional positions:
1 Y 0.0000 0.5000 0.0000  2 K 2.64
2 Y 0.0000 0.0000 0.5000  2 K 2.64
3 Y 0.5000 0.0000 0.0000  2 K 2.64
4 K 0.0000 0.0000 0.0000  6 Y 2.64
5 Au 0.5000 0.5000 0.5000  12 Y 3.73